Ca2HgW: relaxed, PBE.

Properties
As for the crystal system: tetragonal.

Geometry as CIF:
```
data_Ca2HgW
_chemical_formula_sum 'Ca4 Hg2 W2'
_cell_length_a 4.507
_cell_length_b 4.507
_cell_length_c 9.234
_cell_angle_alpha 90.00
_cell_angle_beta 90.00
_cell_angle_gamma 90.00
_symmetry_space_group_name_H-M 'I 4/m m m'
_symmetry_Int_Tables_number 139
_symmetry_space_group_name_Hall '-I 4 2'
loop_
_atom_site_label
_atom_site_fract_x
_atom_site_fract_y
_atom_site_fract_z
Ca1 0.000 0.500 0.250
Hg1 0.000 0.000 0.000
W1 0.000 0.000 0.500
```


Ca2HgW: relaxed, PBE.

Properties
As for the crystal system: cubic.

Geometry as CIF:
```
data_Ca2HgW
_chemical_formula_sum 'Ca8 Hg4 W4'
_cell_length_a 7.287
_cell_length_b 7.287
_cell_length_c 7.287
_cell_angle_alpha 90.00
_cell_angle_beta 90.00
_cell_angle_gamma 90.00
_symmetry_space_group_name_H-M 'F -4 3 m'
_symmetry_Int_Tables_number 216
_symmetry_space_group_name_Hall 'F -4 2 3'
loop_
_atom_site_label
_atom_site_fract_x
_atom_site_fract_y
_atom_site_fract_z
Ca1 0.000 0.000 0.000
Ca2 0.250 0.250 0.250
Hg1 0.000 0.000 0.500
W1 0.250 0.250 0.750
```


CaHg2W: relaxed, PBE.

Properties
As for the crystal system: tetragonal.

Geometry as CIF:
```
data_CaHg2W
_chemical_formula_sum 'Ca1 Hg2 W1'
_cell_length_a 3.013
_cell_length_b 3.013
_cell_length_c 9.149
_cell_angle_alpha 90.00
_cell_angle_beta 90.00
_cell_angle_gamma 90.00
_symmetry_space_group_name_H-M 'P 4/m m m'
_symmetry_Int_Tables_number 123
_symmetry_space_group_name_Hall '-P 4 2'
loop_
_atom_site_label
_atom_site_fract_x
_atom_site_fract_y
_atom_site_fract_z
Ca1 0.000 0.000 0.000
Hg1 0.500 0.500 0.263
W1 0.000 0.000 0.500
```


Total DFT energy (no corrections) across the listed records, respectively: -3.62 -3.56 -3.47 eV/atom.
ΔH_f (0 K) across the listed records, respectively: 269 289 161 kJ/mol of formula units.